(1)
Density functional theory data (PBE-GGA) for an optimized crystal structure of La2BiBr.

Cell lengths 5.558, 5.558, 5.558 Å; angles 60.00, 60.00, 60.00 degrees
Last column: magnetic moment on the atom in μB.
Element x y z (fractional)
Br 0.000 0.000 0.000  -0.01
Bi 0.500 0.500 0.500  -0.01
La 0.250 0.250 0.250  0.26
La 0.750 0.750 0.750  0.26

## Properties
Its energy above the most stable polymorph in this dataset is 71 meV per atom. As for the raw formation energy: -1109 meV per atom. The value obtained for the total moment is 1.08 μB per formula unit. The calculation puts the energy at -19.84 eV for the cell shown.

(2)
Density functional theory data (PBE-GGA) for an optimized crystal structure of Tb3Ho3Ni2.

Cell lengths 3.636, 6.779, 18.301 Å; angles 90.00, 90.00, 105.56 degrees
Element x y z (fractional)
Tb 0.323 0.646 0.563
Tb 0.455 0.910 0.250
Tb 0.677 0.354 0.437
Tb 0.677 0.354 0.063
Tb 0.323 0.646 0.937
Tb 0.545 0.090 0.750
Ni 0.303 0.605 0.139
Ni 0.697 0.395 0.861
Ni 0.303 0.605 0.361
Ni 0.697 0.395 0.639
Ho 0.938 0.876 0.415
Ho 0.733 0.467 0.250
Ho 0.062 0.124 0.585
Ho 0.267 0.533 0.750
Ho 0.062 0.124 0.915
Ho 0.938 0.876 0.085

## Properties
The calculated formation energy is -156 meV per atom. The value obtained for the total moment is 0.00 μB per formula unit. The calculation puts the energy at -80.87 eV for the cell shown.

(3)
Density functional theory data (PBE-GGA) for an optimized crystal structure of Li4TbIn5.

Cell lengths 3.522, 3.522, 16.983 Å; angles 90.00, 90.00, 90.00 degrees
Last column: magnetic moment on the atom in μB.
Element x y z (fractional)
Li 0.000 0.000 0.218  0.00
Li 0.000 0.000 0.406  0.00
Li 0.000 0.000 0.782  0.00
Li 0.000 0.000 0.594  0.00
In 0.500 0.500 0.875  0.00
In 0.500 0.500 0.500  0.00
In 0.500 0.500 0.125  0.00
In 0.500 0.500 0.689  0.00
In 0.500 0.500 0.311  0.00
Tb 0.000 0.000 0.000  0.17

## Properties
The calculated formation energy is -319 meV per atom. The value obtained for the total moment is 0.20 μB per formula unit. The calculation puts the energy at -29.17 eV for the cell shown.

(4)
Density functional theory data (PBE-GGA) for an optimized crystal structure of TbZn3Ga2.

Cell lengths 4.188, 7.968, 7.539 Å; angles 115.29, 90.00, 105.24 degrees
Element x y z (fractional)
Tb 0.856 0.712 0.928
Tb 0.144 0.288 0.072
Ga 0.796 0.593 0.280
Ga 0.204 0.407 0.720
Ga 0.480 0.959 0.825
Ga 0.520 0.041 0.175
Zn 0.610 0.220 0.715
Zn 0.390 0.780 0.285
Zn 0.962 0.924 0.624
Zn 0.311 0.622 0.538
Zn 0.038 0.076 0.376
Zn 0.689 0.378 0.462

## Properties
Its energy above the most stable polymorph in this dataset is 0 meV per atom. The calculated formation energy is -326 meV per atom. The value obtained for the total moment is 0.00 μB per formula unit. The calculation puts the energy at -32.93 eV for the cell shown.